Material: ThP2Ir5Pd
Method: DFT, PBE
State: relaxed

Lattice parameters (Å, degrees): 4.0109 4.0109 10.3146 90.00 90.00 90.00
Last column: nearest neighbours and their distance in Å.
Positions (direct):
P: 0.5000 0.5000 0.2760  5 Ir 2.29-2.31
P: 0.5000 0.5000 0.7240  5 Ir 2.29-2.31
Ir: 0.0000 0.5000 0.1694  2 P 2.29
Th: 0.0000 0.0000 0.5000  4 Ir 2.84
Ir: 0.5000 0.0000 0.8306  2 P 2.29
Ir: 0.0000 0.5000 0.8306  2 P 2.29
Ir: 0.5000 0.5000 0.5000  2 P 2.31
Ir: 0.5000 0.0000 0.1694  2 P 2.29
Pd: 0.0000 0.0000 0.0000  8 Ir 2.66

formation enthalpy at 0 K = -2.900 eV/f.u.
size of the total moment = 0.00 μB per formula unit
crystal system = tetragonal